Entry 1:
Below is an optimized crystal structure of Pm5Er2Th3, with properties calculated at the PBE level.

abc: 5.0747 6.2385 12.9857
angles: 61.27 78.73 66.00
Element x y z (fractional)
1 Pm 0.0000 0.0000 0.0000
2 Pm 0.1988 0.0026 0.5998
3 Pm 0.8012 0.9974 0.4002
4 Pm 0.6985 0.5006 0.1023
5 Pm 0.3015 0.4994 0.8977
6 Er 0.4023 0.9904 0.2049
7 Er 0.5977 0.0096 0.7951
8 Th 0.5000 0.5000 0.5000
9 Th 0.0981 0.5027 0.3011
10 Th 0.9019 0.4973 0.6989

Calculated values
Formation energy in meV per atom: 47
Symmetry: C2/m, No. 12

***

Entry 2:
Below is an optimized crystal structure of Pm2ErTh, with properties calculated at the PBE level.

abc: 5.7201 5.7201 5.7201
angles: 60.00 60.00 60.00
Element x y z (fractional)
1 Pm 0.2500 0.2500 0.2500
2 Pm 0.7500 0.7500 0.7500
3 Th 0.0000 0.0000 0.0000
4 Er 0.5000 0.5000 0.5000

Calculated values
Formation energy in meV per atom: 206
Symmetry: Fm-3m, No. 225

***

Entry 3:
Below is an optimized crystal structure of Pm2ErTh, with properties calculated at the PBE level.

abc: 3.4604 12.3155 15.5651
angles: 54.02 109.12 147.57
Element x y z (fractional)
1 Pm 0.6178 0.9042 0.7571
2 Pm 0.3822 0.0958 0.2429
3 Pm 0.0011 0.2569 0.9919
4 Pm 0.9989 0.7431 0.0081
5 Er 0.6583 0.4383 0.7300
6 Er 0.3417 0.5617 0.2700
7 Th 0.0000 0.5000 0.5000
8 Th 0.5000 0.0000 0.5000

Calculated values
Formation energy in meV per atom: 124
Symmetry: P-1, No. 2

***

Entry 4:
Below is an optimized crystal structure of Pm3ErTh2, with properties calculated at the PBE level.

abc: 3.6145 10.1569 10.7831
angles: 90.36 90.00 90.00
Element x y z (fractional)
1 Pm 0.7500 0.1320 0.5838
2 Pm 0.2500 0.8680 0.4162
3 Pm 0.7500 0.6233 0.2502
4 Pm 0.2500 0.3767 0.7498
5 Pm 0.2500 0.3622 0.0833
6 Pm 0.7500 0.6378 0.9167
7 Er 0.2500 0.8748 0.7496
8 Er 0.7500 0.1252 0.2504
9 Th 0.2500 0.3781 0.4176
10 Th 0.7500 0.6219 0.5824
11 Th 0.7500 0.1160 0.9179
12 Th 0.2500 0.8840 0.0821

Calculated values
Formation energy in meV per atom: 39
Symmetry: P2_1/m, No. 11

***

Entry 5:
Below is an optimized crystal structure of Pm5Er4Th2, with properties calculated at the PBE level.

abc: 3.5135 8.8384 11.8073
angles: 85.68 90.00 90.00
Element x y z (fractional)
1 Pm 0.0000 0.4274 0.2913
2 Pm 0.0000 0.8086 0.1617
3 Pm 0.0000 0.5000 0.0000
4 Pm 0.0000 0.1914 0.8383
5 Pm 0.0000 0.5726 0.7087
6 Er 0.5000 0.3020 0.5463
7 Er 0.5000 0.8383 0.8910
8 Er 0.5000 0.6980 0.4537
9 Er 0.5000 0.1617 0.1090
10 Th 0.0000 0.9612 0.6336
11 Th 0.0000 0.0388 0.3664

Calculated values
Formation energy in meV per atom: 124
Symmetry: P2/m, No. 10

***

Entry 6:
Below is an optimized crystal structure of Pm3Er3Th2, with properties calculated at the PBE level.

abc: 5.0432 5.0612 10.7986
angles: 103.55 103.50 90.00
Element x y z (fractional)
1 Pm 0.6279 0.6279 0.2558
2 Pm 0.3721 0.3721 0.7442
3 Pm 0.5000 0.0000 0.0000
4 Er 0.1275 0.1275 0.2551
5 Er 0.0000 0.5000 0.0000
6 Er 0.8725 0.8725 0.7449
7 Th 0.7496 0.2496 0.4991
8 Th 0.2504 0.7504 0.5009

Calculated values
Formation energy in meV per atom: 30
Symmetry: Immm, No. 71

***

Entry 7:
Below is an optimized crystal structure of Pm6Er3Th2, with properties calculated at the PBE level.

abc: 6.1822 6.1870 11.6818
angles: 84.87 79.69 60.03
Element x y z (fractional)
1 Pm 0.4174 0.6669 0.7474
2 Pm 0.7509 0.0000 0.7477
3 Pm 0.0843 0.3331 0.7474
4 Pm 0.2491 0.0000 0.2523
5 Pm 0.5826 0.3331 0.2526
6 Pm 0.9157 0.6669 0.2526
7 Er 0.0000 0.0000 0.0000
8 Er 0.3343 0.3314 0.0000
9 Er 0.6657 0.6686 0.0000
10 Th 0.1665 0.6670 0.5000
11 Th 0.8335 0.3330 0.5000

Calculated values
Formation energy in meV per atom: 218
Symmetry: C2/m, No. 12

***

Entry 8:
Below is an optimized crystal structure of PmEr5Th2, with properties calculated at the PBE level.

abc: 3.5070 8.8049 8.8049
angles: 78.42 78.51 78.51
Element x y z (fractional)
1 Pm 0.0000 0.0000 0.0000
2 Er 0.0000 0.5000 0.5000
3 Er 0.6312 0.5981 0.1396
4 Er 0.3688 0.4019 0.8604
5 Er 0.3688 0.8604 0.4019
6 Er 0.6312 0.1396 0.5981
7 Th 0.7394 0.7606 0.7606
8 Th 0.2606 0.2394 0.2394

Calculated values
Formation energy in meV per atom: 96
Symmetry: Immm, No. 71

***

Please write out number 2 again, unchanged.
Below is an optimized crystal structure of Pm2ErTh, with properties calculated at the PBE level.

abc: 5.7201 5.7201 5.7201
angles: 60.00 60.00 60.00
Element x y z (fractional)
1 Pm 0.2500 0.2500 0.2500
2 Pm 0.7500 0.7500 0.7500
3 Th 0.0000 0.0000 0.0000
4 Er 0.5000 0.5000 0.5000

Calculated values
Formation energy in meV per atom: 206
Symmetry: Fm-3m, No. 225

***

Please write out number 7 again, unchanged.
Below is an optimized crystal structure of Pm6Er3Th2, with properties calculated at the PBE level.

abc: 6.1822 6.1870 11.6818
angles: 84.87 79.69 60.03
Element x y z (fractional)
1 Pm 0.4174 0.6669 0.7474
2 Pm 0.7509 0.0000 0.7477
3 Pm 0.0843 0.3331 0.7474
4 Pm 0.2491 0.0000 0.2523
5 Pm 0.5826 0.3331 0.2526
6 Pm 0.9157 0.6669 0.2526
7 Er 0.0000 0.0000 0.0000
8 Er 0.3343 0.3314 0.0000
9 Er 0.6657 0.6686 0.0000
10 Th 0.1665 0.6670 0.5000
11 Th 0.8335 0.3330 0.5000

Calculated values
Formation energy in meV per atom: 218
Symmetry: C2/m, No. 12

***

> Which of these has the highest formation energy?

Pm6Er3Th2